Record 1
# BaLi4Gd | the Alexandria database | GGA-PBE | optimized geometry
data_BaLi4Gd
_chemical_formula_sum 'Ba4 Li16 Gd4'
_symmetry_space_group_name_H-M 'F -4 3 m'
_symmetry_Int_Tables_number 216
_symmetry_space_group_name_Hall 'F -4 2 3'
_cell_length_a 8.851
_cell_length_b 8.851
_cell_length_c 8.851
_cell_angle_alpha 90.00
_cell_angle_beta 90.00
_cell_angle_gamma 90.00
loop_
_atom_site_label
_atom_site_fract_x
_atom_site_fract_y
_atom_site_fract_z
_atom_site_occupancy
Ba1 0.000 0.000 0.000 1
Li1 0.123 0.123 0.377 1
Gd1 0.250 0.250 0.750 1
# E_form: 0.12 eV per atom

---

Record 2
# TbPm3Dy | the Alexandria database | GGA-PBE | optimized geometry
data_TbPm3Dy
_chemical_formula_sum 'Tb4 Pm12 Dy4'
_symmetry_space_group_name_H-M 'P -1'
_symmetry_Int_Tables_number 2
_cell_length_a 8.077
_cell_length_b 9.535
_cell_length_c 9.555
_cell_angle_alpha 94.08
_cell_angle_beta 114.95
_cell_angle_gamma 90.01
loop_
_symmetry_equiv_pos_as_xyz
'x,y,z'
'-x,-y,-z'
loop_
_atom_site_label
_atom_site_fract_x
_atom_site_fract_y
_atom_site_fract_z
_atom_site_occupancy
Tb1 0.027 0.175 0.450 1
Tb2 0.325 0.275 0.849 1
Pm1 0.076 0.524 0.351 1
Pm2 0.124 0.875 0.251 1
Pm3 0.226 0.574 0.050 1
Pm4 0.274 0.926 0.950 1
Pm5 0.376 0.625 0.749 1
Pm6 0.424 0.975 0.650 1
Dy1 0.176 0.225 0.151 1
Dy2 0.474 0.325 0.550 1
# E_form: 0.01 eV per atom
# energy above the lowest structure with this stoichiometry: 0.000 eV per formula unit

---

Record 3
# Na3Pu2BiTe6 | the Alexandria database | GGA-PBE | optimized geometry
data_Na3Pu2BiTe6
_chemical_formula_sum 'Na6 Pu4 Bi2 Te12'
_symmetry_space_group_name_H-M 'C 1 2/m 1'
_symmetry_Int_Tables_number 12
_cell_length_a 7.808
_cell_length_b 13.520
_cell_length_c 7.965
_cell_angle_alpha 90.00
_cell_angle_beta 109.02
_cell_angle_gamma 90.00
loop_
_symmetry_equiv_pos_as_xyz
'x,y,z'
'-x,-y,-z'
'-x,y,-z'
'x,-y,z'
'x+1/2,y+1/2,z'
'-x+1/2,-y+1/2,-z'
'-x+1/2,y+1/2,-z'
'x+1/2,-y+1/2,z'
loop_
_atom_site_label
_atom_site_fract_x
_atom_site_fract_y
_atom_site_fract_z
_atom_site_occupancy
Na1 0.000 0.000 0.000 1
Na2 0.000 0.338 0.000 1
Pu1 0.000 0.167 0.500 1
Bi1 0.000 0.500 0.500 1
Te1 0.241 0.000 0.734 1
Te2 0.247 0.332 0.736 1
# ΔE_f (raw): -0.86 eV/atom

---

Record 4
# La2Nd4Sm3 | the Alexandria database | GGA-PBE | optimized geometry
data_La2Nd4Sm3
_chemical_formula_sum 'La2 Nd4 Sm3'
_symmetry_space_group_name_H-M 'P -1'
_symmetry_Int_Tables_number 2
_cell_length_a 5.217
_cell_length_b 8.218
_cell_length_c 8.225
_cell_angle_alpha 72.35
_cell_angle_beta 89.98
_cell_angle_gamma 71.55
loop_
_symmetry_equiv_pos_as_xyz
'x,y,z'
'-x,-y,-z'
loop_
_atom_site_label
_atom_site_fract_x
_atom_site_fract_y
_atom_site_fract_z
_atom_site_occupancy
La1 0.222 0.056 0.334 1
Nd1 0.110 0.280 0.669 1
Nd2 0.334 0.831 0.999 1
Sm1 0.000 0.500 0.000 1
Sm2 0.446 0.609 0.666 1
# E_form: 0.02 eV per atom
# energy above the lowest structure with this stoichiometry: 0.000 eV per formula unit

---

Record 5
# Li4Cu3AgF12 | the Alexandria database | GGA-PBE | optimized geometry
data_Li4Cu3AgF12
_chemical_formula_sum 'Li8 Cu6 Ag2 F24'
_symmetry_space_group_name_H-M 'I m -3'
_symmetry_Int_Tables_number 204
_symmetry_space_group_name_Hall '-I 2 2 3'
_cell_length_a 7.545
_cell_length_b 7.545
_cell_length_c 7.545
_cell_angle_alpha 90.00
_cell_angle_beta 90.00
_cell_angle_gamma 90.00
loop_
_atom_site_label
_atom_site_fract_x
_atom_site_fract_y
_atom_site_fract_z
_atom_site_occupancy
Li1 0.250 0.250 0.250 1
Cu1 0.000 0.000 0.500 1
Ag1 0.000 0.000 0.000 1
F1 0.000 0.171 0.319 1
# ΔE_f (raw): -2.04 eV/atom

---

Record 6
# Ac2Si3Ni12Pt | the Alexandria database | GGA-PBE | optimized geometry
data_Ac2Si3Ni12Pt
_chemical_formula_sum 'Ac6 Si9 Ni36 Pt3'
_symmetry_space_group_name_H-M 'R -3 m'
_symmetry_Int_Tables_number 166
_symmetry_space_group_name_Hall '-R 3 2"'
_cell_length_a 7.7629
_cell_length_b 7.7629
_cell_length_c 18.2069
_cell_angle_alpha 90.00
_cell_angle_beta 90.00
_cell_angle_gamma 120.00
loop_
_atom_site_label
_atom_site_fract_x
_atom_site_fract_y
_atom_site_fract_z
_atom_site_occupancy
Ac1 0.0000 0.0000 0.1091 1
Si1 0.0000 0.5000 0.0000 1
Ni1 0.0005 0.5002 0.1254 1
Ni2 0.0940 0.5470 0.3879 1
Pt1 0.0000 0.0000 0.5000 1
# ΔE_f (raw): 0.10 eV/atom

---

Record 7
# NaSrSn2 | the Alexandria database | GGA-PBE | optimized geometry
data_NaSrSn2
_chemical_formula_sum 'Na4 Sr4 Sn8'
_symmetry_space_group_name_H-M 'I -4 2 d'
_symmetry_Int_Tables_number 122
_symmetry_space_group_name_Hall 'I -4 2bw'
_cell_length_a 5.146
_cell_length_b 5.146
_cell_length_c 21.138
_cell_angle_alpha 90.00
_cell_angle_beta 90.00
_cell_angle_gamma 90.00
loop_
_atom_site_label
_atom_site_fract_x
_atom_site_fract_y
_atom_site_fract_z
_atom_site_occupancy
Na1 0.000 0.000 0.000 1
Sr1 0.000 0.000 0.500 1
Sn1 0.165 0.250 0.125 1
# E_form: -0.13 eV per atom

---

Record 8
# FeNiGeRu | the Alexandria database | GGA-PBE | optimized geometry
data_FeNiGeRu
_chemical_formula_sum 'Fe4 Ni4 Ge4 Ru4'
_symmetry_space_group_name_H-M 'F -4 3 m'
_symmetry_Int_Tables_number 216
_symmetry_space_group_name_Hall 'F -4 2 3'
_cell_length_a 5.900
_cell_length_b 5.900
_cell_length_c 5.900
_cell_angle_alpha 90.00
_cell_angle_beta 90.00
_cell_angle_gamma 90.00
loop_
_atom_site_label
_atom_site_fract_x
_atom_site_fract_y
_atom_site_fract_z
_atom_site_occupancy
Fe1 0.000 0.000 0.000 1
Ni1 0.250 0.250 0.750 1
Ge1 0.000 0.000 0.500 1
Ru1 0.250 0.250 0.250 1
# E_form: -0.09 eV per atom

---

Record 9
# K2Pa3InSe8 | the Alexandria database | GGA-PBE | optimized geometry
data_K2Pa3InSe8
_chemical_formula_sum 'K6 Pa9 In3 Se24'
_symmetry_space_group_name_H-M 'R 3 m'
_symmetry_Int_Tables_number 160
_symmetry_space_group_name_Hall 'R 3 -2"'
_cell_length_a 8.5044
_cell_length_b 8.5044
_cell_length_c 24.2556
_cell_angle_alpha 90.00
_cell_angle_beta 90.00
_cell_angle_gamma 120.00
loop_
_atom_site_label
_atom_site_fract_x
_atom_site_fract_y
_atom_site_fract_z
_atom_site_occupancy
K1 0.0000 0.0000 0.0000 1
K2 0.0000 0.0000 0.3642 1
Pa1 0.9997 0.4999 0.8654 1
In1 0.0000 0.0000 0.7442 1
Se1 0.0000 0.0000 0.1348 1
Se2 0.0000 0.0000 0.5947 1
Se3 0.0234 0.5117 0.1348 1
Se4 0.1806 0.3613 0.9276 1
# ΔE_f (raw): -1.24 eV/atom

---

Record 10
# Y3TeIrCl | the Alexandria database | GGA-PBE | optimized geometry
data_Y3TeIrCl
_chemical_formula_sum 'Y6 Te2 Ir2 Cl2'
_symmetry_space_group_name_H-M 'P 1 21/m 1'
_symmetry_Int_Tables_number 11
_cell_length_a 8.403
_cell_length_b 4.189
_cell_length_c 9.787
_cell_angle_alpha 90.00
_cell_angle_beta 95.88
_cell_angle_gamma 90.00
loop_
_symmetry_equiv_pos_as_xyz
'x,y,z'
'-x,-y,-z'
'-x,y+1/2,-z'
'x,-y+1/2,z'
loop_
_atom_site_label
_atom_site_fract_x
_atom_site_fract_y
_atom_site_fract_z
_atom_site_occupancy
Y1 0.135 0.250 0.321 1
Y2 0.149 0.250 0.894 1
Y3 0.296 0.750 0.619 1
Te1 0.413 0.750 0.320 1
Ir1 0.064 0.250 0.609 1
Cl1 0.353 0.750 0.915 1
# ΔE_f (raw): -1.16 eV/atom

---

Record 11
# SiH2Br | the Alexandria database | GGA-PBE | optimized geometry
data_SiH2Br
_chemical_formula_sum 'Si1 H2 Br1'
_symmetry_space_group_name_H-M 'P 1'
_symmetry_Int_Tables_number 1
_cell_length_a 3.366
_cell_length_b 3.366
_cell_length_c 8.079
_cell_angle_alpha 89.54
_cell_angle_beta 89.69
_cell_angle_gamma 60.03
loop_
_symmetry_equiv_pos_as_xyz
'x,y,z'
loop_
_atom_site_label
_atom_site_fract_x
_atom_site_fract_y
_atom_site_fract_z
_atom_site_occupancy
Si1 0.000 0.000 0.000 1
H1 0.651 0.650 0.679 1
H2 0.668 0.647 0.586 1
Br1 0.999 0.995 0.274 1
# energy above the lowest structure with this stoichiometry: 0.638 eV per formula unit

---

Record 12
# KNi2Sb2 | the Alexandria database | GGA-PBE | optimized geometry
data_KNi2Sb2
_chemical_formula_sum 'K2 Ni4 Sb4'
_symmetry_space_group_name_H-M 'P 4/m b m'
_symmetry_Int_Tables_number 127
_symmetry_space_group_name_Hall '-P 4 2ab'
_cell_length_a 8.398
_cell_length_b 8.398
_cell_length_c 3.085
_cell_angle_alpha 90.00
_cell_angle_beta 90.00
_cell_angle_gamma 90.00
loop_
_atom_site_label
_atom_site_fract_x
_atom_site_fract_y
_atom_site_fract_z
_atom_site_occupancy
K1 0.000 0.000 0.000 1
Ni1 0.117 0.383 0.500 1
Sb1 0.141 0.641 0.000 1
# ΔE_f (raw): 0.04 eV/atom

---

| no. | total energy (eV/atom) |
| --- | --- |
| 1 | -3.819 |
| 2 | -4.683 |
| 3 | -5.475 |
| 4 | -4.771 |
| 5 | -4.299 |
| 6 | -5.455 |
| 7 | -2.882 |
| 8 | -7.129 |
| 9 | -5.620 |
| 10 | -6.704 |
| 11 | -3.278 |
| 12 | -4.138 |